Entry 1:
A geometry-optimized YTaHg structure. Source: the Alexandria database, functional GGA-PBEsol.

Cell lengths 6.6802, 6.6802, 6.6802 Å; angles 90.00, 90.00, 90.00 degrees
With the nearest neighbours (Å) after each atom.
Space group F-43m (No. 216)
Symmetry-distinct sites (fractional):
Y1 0.0000 0.0000 0.0000 [4 per cell]  4 Hg 2.89
Ta1 0.0000 0.0000 0.5000 [4 per cell]  4 Hg 2.89
Hg1 0.2500 0.2500 0.7500 [4 per cell]  4 Y 2.89, 4 Ta 2.89

Results
Final energy in eV per atom: -5.992
Energy relative to the elements in eV/atom: 0.65
Excess energy over the best structure of this formula in the dataset in eV per atom: 0.0000


Entry 2:
A geometry-optimized SrCoPb2 structure. Source: the Alexandria database, functional GGA-PBEsol.

Cell lengths 3.5983, 3.5983, 7.7807 Å; angles 90.00, 90.00, 90.00 degrees
With the nearest neighbours (Å) after each atom.
Space group P4mm (No. 99)
Symmetry-distinct sites (fractional):
Sr1 0.0000 0.0000 0.0000 [1 per cell]  5 Pb 3.20-3.53, 4 Co 3.42
Co1 0.5000 0.5000 0.2939 [1 per cell]  4 Pb 2.70
Pb1 0.0000 0.0000 0.4109 [1 per cell]  4 Co 2.70
Pb2 0.5000 0.5000 0.6850 [1 per cell]  1 Co 3.04, 4 Pb 3.32

Results
Final energy in eV per atom: -4.213
Energy relative to the elements in eV/atom: 0.18


Entry 3:
A geometry-optimized CoSbCl2 structure. Source: the Alexandria database, functional GGA-PBEsol.

Cell lengths 9.3448, 3.3006, 6.0615 Å; angles 90.00, 108.41, 90.00 degrees
With the nearest neighbours (Å) after each atom.
Space group Cm (No. 8)
Symmetry-distinct sites (fractional):
Co1 0.0000 0.0000 0.0000 [2 per cell]  4 Cl 2.33-2.46, 2 Sb 2.59
Sb1 0.2818 0.0000 0.9706 [2 per cell]  3 Co 2.59-2.69, 1 Cl 2.62
Cl1 0.1224 0.5000 0.2637 [2 per cell]  2 Co 2.33
Cl2 0.4399 0.0000 0.6822 [2 per cell]  2 Co 2.46, 1 Sb 2.62

Results
Final energy in eV per atom: -4.266
Uncorrected formation energy in kcal/mol of atoms: -4.4
Excess energy over the best structure of this formula in the dataset in eV per atom: 0.0000


Entry 4:
A geometry-optimized HgSbPt2 structure. Source: the Alexandria database, functional GGA-PBEsol.

Cell lengths 4.7416, 4.7416, 3.2226 Å; angles 90.00, 90.00, 90.00 degrees
With the nearest neighbours (Å) after each atom.
Space group P4/mmm (No. 123)
Symmetry-distinct sites (fractional):
Hg1 0.0000 0.0000 0.0000 [1 per cell]  8 Pt 2.87
Sb1 0.5000 0.5000 0.0000 [1 per cell]  8 Pt 2.87
Pt1 0.0000 0.5000 0.5000 [2 per cell]  4 Hg 2.87, 4 Sb 2.87

Results
Final energy in eV per atom: -4.777
Uncorrected formation energy in kcal/mol of atoms: -0.3


Entry 5:
A geometry-optimized CeSi2Ag structure. Source: the Alexandria database, functional GGA-PBEsol.

Cell lengths 4.1178, 17.5135, 4.1226 Å; angles 90.00, 90.00, 90.00 degrees
With the nearest neighbours (Å) after each atom.
Space group Cmcm (No. 63)
Symmetry-distinct sites (fractional):
Ce1 0.0000 0.0957 0.2500 [4 per cell]  10 Si 3.04-3.15, 2 Ag 3.38
Si1 0.0000 0.3366 0.2500 [4 per cell]  1 Si 2.30, 4 Ag 2.54-2.57
Si2 0.0000 0.4680 0.2500 [4 per cell]  3 Si 2.30-2.35
Ag1 0.0000 0.2486 0.7500 [4 per cell]  4 Si 2.54-2.57

Results
Final energy in eV per atom: -5.894
Uncorrected formation energy in kcal/mol of atoms: -12.5


Entry 6:
A geometry-optimized GeMoIO2 structure. Source: the Alexandria database, functional GGA-PBEsol.

Cell lengths 3.8261, 3.8261, 5.9853 Å; angles 90.00, 90.00, 90.00 degrees
With the nearest neighbours (Å) after each atom.
Space group P4/mmm (No. 123)
Symmetry-distinct sites (fractional):
Ge1 0.0000 0.0000 0.0000 [1 per cell]  4 O 1.91
Mo1 0.5000 0.5000 0.5000 [1 per cell]  4 I 2.71
I1 0.0000 0.0000 0.5000 [1 per cell]  4 Mo 2.71, 2 Ge 2.99
O1 0.0000 0.5000 0.0000 [2 per cell]  2 Ge 1.91

Results
Final energy in eV per atom: -5.512
Uncorrected formation energy in kcal/mol of atoms: 6.5
Excess energy over the best structure of this formula in the dataset in eV per atom: 0.7994


Entry 7:
A geometry-optimized LiSeN2F structure. Source: the Alexandria database, functional GGA-PBEsol.

Cell lengths 3.9435, 3.9435, 3.2564 Å; angles 90.00, 90.00, 90.00 degrees
With the nearest neighbours (Å) after each atom.
Space group P4/mmm (No. 123)
Symmetry-distinct sites (fractional):
Li1 0.0000 0.0000 0.0000 [1 per cell]  2 F 1.63
Se1 0.5000 0.5000 0.5000 [1 per cell]  8 N 2.56, 4 F 2.79
N1 0.0000 0.5000 0.0000 [2 per cell]  2 Li 1.97
F1 0.0000 0.0000 0.5000 [1 per cell]  2 Li 1.63

Results
Final energy in eV per atom: -4.017
Uncorrected formation energy in kcal/mol of atoms: 21.7


Entry 8:
A geometry-optimized Ta2SiAg structure. Source: the Alexandria database, functional GGA-PBEsol.

Cell lengths 3.9515, 3.9515, 4.1253 Å; angles 90.00, 90.00, 90.00 degrees
With the nearest neighbours (Å) after each atom.
Space group P4/mmm (No. 123)
Symmetry-distinct sites (fractional):
Ta1 0.0000 0.5000 0.0000 [2 per cell]  4 Ta 2.79, 4 Ag 2.86, 4 Si 2.86
Si1 0.0000 0.0000 0.5000 [1 per cell]  4 Ag 2.79, 8 Ta 2.86
Ag1 0.5000 0.5000 0.5000 [1 per cell]  4 Si 2.79, 8 Ta 2.86

Results
Final energy in eV per atom: -8.509
Uncorrected formation energy in kcal/mol of atoms: 0.7


Entry 9:
A geometry-optimized Hg3OsBr structure. Source: the Alexandria database, functional GGA-PBEsol.

Cell lengths 5.3684, 5.3684, 5.3684 Å; angles 90.00, 90.00, 90.00 degrees
With the nearest neighbours (Å) after each atom.
Space group Pm-3m (No. 221)
Symmetry-distinct sites (fractional):
Hg1 0.0000 0.0000 0.5000 [3 per cell]  2 Br 2.68
Os1 0.5000 0.5000 0.5000 [1 per cell]  12 Hg 3.80
Br1 0.0000 0.0000 0.0000 [1 per cell]  6 Hg 2.68

Results
Final energy in eV per atom: -1.243
Uncorrected formation energy in kcal/mol of atoms: 44.1


Entry 10:
A geometry-optimized FeN2Cl structure. Source: the Alexandria database, functional GGA-PBEsol.

Cell lengths 2.9330, 2.9330, 18.3946 Å; angles 90.00, 90.00, 120.00 degrees
With the nearest neighbours (Å) after each atom.
Space group R-3m (No. 166, hexagonal axes)
Symmetry-distinct sites (fractional):
Fe1 0.0000 0.0000 0.0000 [3 per cell]  2 N 1.68
N1 0.0000 0.0000 0.0914 [6 per cell]  1 Fe 1.68
Cl1 0.0000 0.0000 0.5000 [3 per cell]  6 N 2.19

Results
Final energy in eV per atom: -5.329
Uncorrected formation energy in kcal/mol of atoms: 38.7


Entry 11:
A geometry-optimized Cd2In structure. Source: the Alexandria database, functional GGA-PBEsol.

Cell lengths 3.1675, 3.1675, 7.6627 Å; angles 90.00, 90.00, 120.00 degrees
With the nearest neighbours (Å) after each atom.
Space group P-3m1 (No. 164)
Symmetry-distinct sites (fractional):
Cd1 0.3333 0.6667 0.1602 [2 per cell]  9 Cd 3.06-3.17, 3 In 3.18
In1 0.0000 0.0000 0.5000 [1 per cell]  6 In 3.17, 6 Cd 3.18

Results
Final energy in eV per atom: -1.771
Energy relative to the elements in eV/atom: 0.02


Entry 12:
A geometry-optimized Fe4N structure. Source: the Alexandria database, functional GGA-PBEsol.

Cell lengths 3.6860, 3.6860, 3.6860 Å; angles 90.00, 90.00, 90.00 degrees
With the nearest neighbours (Å) after each atom.
Space group Pm-3m (No. 221)
Symmetry-distinct sites (fractional):
Fe1 0.0000 0.0000 0.0000 [1 per cell]  12 Fe 2.61
Fe2 0.0000 0.5000 0.5000 [3 per cell]  2 N 1.84
N1 0.5000 0.5000 0.5000 [1 per cell]  6 Fe 1.84

Results
Final energy in eV per atom: -8.973
Uncorrected formation energy in kcal/mol of atoms: -2.2